No. 1
The following is a DFT calculation (PBE-GGA) of a relaxed structure of HoSi2Ni6.

For the uncorrected formation energy, the calculation gives -0.4310 eV/atom.

The space group is P4/mmm (No. 123) and the conventional cell measures 3.916, 3.916 and 7.705 Å, with angles of 90.00, 90.00 and 90.00 degrees. The asymmetric unit holds Ho at (0.000, 0.000, 0.000), Si at (0.500, 0.500, 0.159), Ni at (0.000, 0.000, 0.500), Ni at (0.000, 0.500, 0.304) and Ni at (0.500, 0.500, 0.500).

=====

No. 2
The following is a DFT calculation (PBE-GGA) of a relaxed structure of Sr2TlZn.

The value obtained for the formation energy is -0.04 eV per atom.

The space group is F-43m (No. 216) and the conventional cell measures 7.939, 7.939 and 7.939 Å, with angles of 90.00, 90.00 and 90.00 degrees. The asymmetric unit holds Sr at (0.000, 0.000, 0.000), Sr at (0.250, 0.250, 0.250), Tl at (0.250, 0.250, 0.750) and Zn at (0.000, 0.000, 0.500).

=====

No. 3
The following is a DFT calculation (PBE-GGA) of a relaxed structure of As3Os5.

The value obtained for the formation energy is 0.49 eV per atom. The value obtained for the polymorph energy (0 for the lowest one) is 0.000 eV per atom.

The space group is Cm (No. 8) and the conventional cell measures 5.776, 12.987 and 7.086 Å, with angles of 90.00, 114.02 and 90.00 degrees. The asymmetric unit holds As at (0.000, 0.000, 0.000), As at (0.062, 0.250, 0.904), As at (0.199, 0.299, 0.403), As at (0.403, 0.000, 0.806), Os at (0.157, 0.151, 0.624), Os at (0.197, 0.390, 0.704), Os at (0.288, 0.000, 0.403), Os at (0.310, 0.500, 0.404), Os at (0.397, 0.110, 0.103) and Os at (0.437, 0.349, 0.183).